Computed, not measured: an optimized crystal structure of Mg2ReMoIr at the PBE-GGA level of DFT.

As for the formation energy: 1.58 eV/atom. The total moment comes out at 0.00 μB per atom. The total energy comes out at -5.49 eV per atom.

It has space group P4/mmm (No. 123), with a = 4.8622 Å, b = 4.8622 Å, c = 4.5774 Å, α = 90.00°, β = 90.00° and γ = 90.00°. The asymmetric unit holds Mg at (0.0000, 0.5000, 0.0000), Re at (0.0000, 0.0000, 0.0000), Mo at (0.0000, 0.0000, 0.5000) and Ir at (0.5000, 0.5000, 0.5000).